Record 1
Entry from Alexandria via LeMat-Bulk: a geometry-optimized TePb structure (PBE-GGA).

```
data_TePb
_space_group_name_H-M_alt 'P 1'
_space_group_IT_number 1
_space_group_name_Hall 'P 1'
_cell_length_a 3.265
_cell_length_b 3.265
_cell_length_c 11.881
_cell_angle_alpha 90.00
_cell_angle_beta 90.00
_cell_angle_gamma 90.00
loop_
_atom_site_label
_atom_site_type_symbol
_atom_site_fract_x
_atom_site_fract_y
_atom_site_fract_z
Pb1 Pb 0.250 0.250 0.615
Pb2 Pb 0.750 0.750 0.385
Te1 Te 0.250 0.250 0.147
Te2 Te 0.750 0.750 0.853
```

Computed properties:
* raw formation energy: 0.11 eV per atom

Record 2
Entry from Alexandria via LeMat-Bulk: a geometry-optimized TcMo2Pb structure (PBE-GGA).

```
data_TcMo2Pb
_space_group_name_H-M_alt 'P 1'
_space_group_IT_number 1
_space_group_name_Hall 'P 1'
_cell_length_a 5.016
_cell_length_b 5.016
_cell_length_c 4.892
_cell_angle_alpha 74.62
_cell_angle_beta 74.62
_cell_angle_gamma 36.59
loop_
_atom_site_label
_atom_site_type_symbol
_atom_site_fract_x
_atom_site_fract_y
_atom_site_fract_z
Mo1 Mo 0.000 0.000 0.003
Mo2 Mo 0.731 0.731 0.790
Pb1 Pb 0.502 0.502 0.499
Tc1 Tc 0.267 0.267 0.208
```

Computed properties:
* calculated formation energy: 524.0 meV/atom

Record 3
Entry from Alexandria via LeMat-Bulk: a geometry-optimized Pm2ZnAg structure (PBE-GGA).

```
data_Pm2ZnAg
_space_group_name_H-M_alt 'P 1'
_space_group_IT_number 1
_space_group_name_Hall 'P 1'
_cell_length_a 5.233
_cell_length_b 5.233
_cell_length_c 5.233
_cell_angle_alpha 60.00
_cell_angle_beta 60.00
_cell_angle_gamma 60.00
loop_
_atom_site_label
_atom_site_type_symbol
_atom_site_fract_x
_atom_site_fract_y
_atom_site_fract_z
Zn1 Zn 0.000 0.000 0.000
Ag1 Ag 0.500 0.500 0.500
Pm1 Pm 0.250 0.250 0.250
Pm2 Pm 0.750 0.750 0.750
```

Computed properties:
* distance to the lowest polymorph of the same formula: 17.3 meV per atom
* calculated formation energy: -283.9 meV/atom

Record 4
Entry from Alexandria via LeMat-Bulk: a geometry-optimized SrMg2Ni structure (PBE-GGA).

```
data_SrMg2Ni
_space_group_name_H-M_alt 'P 1'
_space_group_IT_number 1
_space_group_name_Hall 'P 1'
_cell_length_a 4.242
_cell_length_b 5.348
_cell_length_c 5.283
_cell_angle_alpha 64.29
_cell_angle_beta 90.00
_cell_angle_gamma 90.00
loop_
_atom_site_label
_atom_site_type_symbol
_atom_site_fract_x
_atom_site_fract_y
_atom_site_fract_z
Mg1 Mg 0.000 0.084 0.088
Mg2 Mg 0.000 0.416 0.412
Ni1 Ni 0.500 0.250 0.250
Sr1 Sr 0.500 0.750 0.750
```

Computed properties:
* calculated formation energy: 79.6 meV/atom

Number 1: volume 31.658 A^3/atom, total magnetization 0.0000 μB/atom. Number 2: volume 17.614 A^3/atom, total magnetization 0.0000 μB/atom. Number 3: volume 25.333 A^3/atom, total magnetization 0.0021 μB/atom. Number 4: volume 26.994 A^3/atom, total magnetization 0.0000 μB/atom.